Entry 1:
Density functional theory data (GGA-PBE) for a relaxed Ce4TcPBr2 crystal.

a = 7.2223 Å, b = 4.0402 Å, c = 7.6631 Å
α = 90.00°, β = 106.70°, γ = 90.00°
Space group P2/m (No. 10)
Inequivalent atoms, fractional coordinates:
Ce 0.2297 0.0000 0.2048
Ce 0.2538 0.5000 0.7964
Tc 0.0000 0.5000 0.0000
P 0.5000 0.0000 0.0000
Br 0.0000 0.0000 0.5000
Br 0.5000 0.5000 0.5000

## Properties
Raw total energy ... -50.69 eV per cell

Entry 2:
Density functional theory data (GGA-PBE) for a relaxed Ce8Tc3PBr4 crystal.

a = 8.1477 Å, b = 8.1477 Å, c = 22.5986 Å
α = 90.00°, β = 90.00°, γ = 120.00°
Space group R-3m (No. 166, hexagonal axes)
Inequivalent atoms, fractional coordinates:
Ce 0.0000 0.0000 0.2351
Ce 0.0079 0.5040 0.7678
Tc 0.0000 0.5000 0.5000
P 0.0000 0.0000 0.5000
Br 0.0000 0.0000 0.0000
Br 0.0000 0.5000 0.0000

## Properties
Raw total energy ... -309.34 eV per cell

- The lowest raw total energy belongs to which entry?
  Ce8Tc3PBr4

- What is the raw total energy in the second record?
  -309.34 eV per cell

- What is the formula in the first record?
  Ce4TcPBr2